The following is a DFT calculation (PBE with a Hubbard U) of a geometry-optimized YVRh2O structure.

As for the crystal system: tetragonal. For the raw total energy, the calculation gives -0.522 Ry per atom.

The structure belongs to space group P4/mmm (No. 123); the cell edges are 4.6379, 4.6379 and 3.6758 Å and the angles 90.00°, 90.00° and 90.00°. The distinct sites, in fractional coordinates, are Y at (0.0000, 0.0000, 0.0000), V at (0.5000, 0.5000, 0.0000), Rh at (0.0000, 0.5000, 0.5000) and O at (0.5000, 0.5000, 0.5000).